1.
# PuAgPb2

An optimized crystal structure of PuAgPb2 (PBE, Alexandria).

Lattice parameters (Å, degrees): 3.624 3.624 7.974 90.00 90.00 90.00
Sites, in units of the cell vectors:
1 Pu 0.000 0.000 0.000
2 Ag 0.000 0.000 0.500
3 Pb 0.500 0.500 0.279
4 Pb 0.500 0.500 0.721

Properties
D(E_F): 8.70 states/eV/cell
space-group type: No. 123
final energy: -6.113 eV per atom
volume: 26.2 Å³ per atom
energy of formation from the pure elements: 36 meV/atom

---

2.
# TiAs

An optimized crystal structure of TiAs (PBE, Alexandria).

Lattice parameters (Å, degrees): 3.649 3.649 12.104 90.00 90.00 120.00
Sites, in units of the cell vectors:
1 Ti 0.333 0.667 0.117
2 Ti 0.333 0.667 0.383
3 Ti 0.667 0.333 0.617
4 Ti 0.667 0.333 0.883
5 As 0.000 0.000 0.000
6 As 0.000 0.000 0.500
7 As 0.333 0.667 0.750
8 As 0.667 0.333 0.250

Properties
D(E_F): 4.53 states/eV/cell
space-group type: No. 194
final energy: -7.196 eV per atom
volume: 17.4 Å³ per atom
energy of formation from the pure elements: -924 meV/atom